(1)
VASP calculation (meta-GGA SCAN) on LaAgSb at its PBEsol-relaxed geometry.

abc: 4.973 4.973 4.973
angles: 60.00 60.00 60.00
Fractional positions:
La 0.000 0.000 0.000
Ag 0.500 0.500 0.500
Sb 0.250 0.250 0.250

Computed properties:
The density is 7.04 g/cm3. The space group is F-43m, No. 216. The total energy is -37.756 eV per atom. The uncorrected formation energy is -1.53 eV per formula unit.



(2)
VASP calculation (meta-GGA SCAN) on LaAgSb2 at its PBEsol-relaxed geometry.

abc: 3.997 4.413 6.315
angles: 90.00 90.10 90.00
Fractional positions:
La 0.000 0.000 0.000
Ag 0.500 0.000 0.500
Sb 0.499 0.500 0.760
Sb 0.501 0.500 0.240

Computed properties:
The density is 7.31 g/cm3. The space group is P2/m, No. 10. The total energy is -37.811 eV per atom. The uncorrected formation energy is -2.25 eV per formula unit. Its excess energy over the best structure of this formula in the dataset is 271.8 meV/atom.



(3)
VASP calculation (meta-GGA SCAN) on LaAgSb2 at its PBEsol-relaxed geometry.

abc: 4.759 4.759 4.403
angles: 90.00 90.00 90.00
Fractional positions:
La 0.000 0.000 0.000
Ag 0.500 0.500 0.000
Sb 0.000 0.500 0.500
Sb 0.500 0.000 0.500

Computed properties:
The density is 8.16 g/cm3. The space group is P4/mmm, No. 123. The total energy is -37.875 eV per atom. The uncorrected formation energy is -2.50 eV per formula unit. Its excess energy over the best structure of this formula in the dataset is 208.8 meV/atom.



(4)
VASP calculation (meta-GGA SCAN) on LaAg2SbSe at its PBEsol-relaxed geometry.

abc: 4.859 4.859 5.754
angles: 90.00 90.00 90.00
Fractional positions:
La 0.000 0.000 0.000
Ag 0.000 0.500 0.500
Ag 0.500 0.000 0.500
Sb 0.500 0.500 0.000
Se 0.000 0.000 0.500

Computed properties:
The density is 6.79 g/cm3. The space group is P4/mmm, No. 123. The total energy is -33.073 eV per atom. The uncorrected formation energy is -2.18 eV per formula unit.



Spin magnetization values (in μB per formula unit) by entry order: 0.00; 0.00; 0.00; 0.00.